## 1
The following is a PBE-GGA calculation of a relaxed CdNiHPd2 crystal, from Alexandria.

Lattice parameters (Å, degrees): 3.915 3.915 4.256 90.00 90.00 90.00
Each line ends with the local moment (μB).
Element x y z (fractional)
H 0.000 0.000 0.000  0.00
Pd 0.000 0.500 0.000  0.05
Pd 0.500 0.000 0.000  0.05
Ni 0.500 0.500 0.500  0.47
Cd 0.000 0.000 0.500  -0.01

Output
Crystal system = tetragonal
Mass density = 9798 kg/m3
SG = P4/mmm

***

## 2
The following is a PBE-GGA calculation of a relaxed CdNiHPd2 crystal, from Alexandria.

Lattice parameters (Å, degrees): 4.113 4.113 3.761 90.00 90.00 90.00
Each line ends with the local moment (μB).
Element x y z (fractional)
Pd 0.500 0.000 0.000  0.03
H 0.000 0.000 0.000  0.00
Pd 0.000 0.500 0.000  0.03
Cd 0.500 0.500 0.500  0.00
Ni 0.000 0.000 0.500  0.29

Output
Crystal system = tetragonal
Mass density = 10046 kg/m3
SG = P4/mmm

***

The least stable of them is 1.

***

## 1
The following is a PBE-GGA calculation of a relaxed CdNi2HPd crystal, from Alexandria.

Lattice parameters (Å, degrees): 3.753 3.753 4.248 90.00 90.00 90.00
Each line ends with the local moment (μB).
Element x y z (fractional)
H 0.000 0.000 0.000  0.00
Cd 0.000 0.000 0.500  0.00
Pd 0.500 0.500 0.500  0.07
Ni 0.500 0.000 0.000  0.24
Ni 0.000 0.500 0.000  0.24

Output
Crystal system = tetragonal
Mass density = 9359 kg/m3
SG = P4/mmm

***

## 2
The following is a PBE-GGA calculation of a relaxed CdNi2HPd crystal, from Alexandria.

Lattice parameters (Å, degrees): 3.855 3.855 3.962 90.00 90.00 90.00
Each line ends with the local moment (μB).
Element x y z (fractional)
H 0.000 0.000 0.000  0.00
Pd 0.000 0.000 0.500  0.04
Cd 0.500 0.500 0.500  0.00
Ni 0.000 0.500 0.000  0.24
Ni 0.500 0.000 0.000  0.24

Output
Crystal system = tetragonal
Mass density = 9508 kg/m3
SG = P4/mmm

***

The least stable of them is 1.

***

## 1
The following is a PBE-GGA calculation of a relaxed CdNi2HPt crystal, from Alexandria.

Lattice parameters (Å, degrees): 3.945 3.945 3.821 90.00 90.00 90.00
Each line ends with the local moment (μB).
Element x y z (fractional)
Pt 0.000 0.000 0.500  0.06
H 0.000 0.000 0.000  0.00
Cd 0.500 0.500 0.500  -0.01
Ni 0.000 0.500 0.000  0.27
Ni 0.500 0.000 0.000  0.27

Output
Crystal system = tetragonal
Mass density = 11890 kg/m3
SG = P4/mmm

***

## 2
The following is a PBE-GGA calculation of a relaxed CdNi2HPt crystal, from Alexandria.

Lattice parameters (Å, degrees): 3.801 3.801 4.152 90.00 90.00 90.00
Each line ends with the local moment (μB).
Element x y z (fractional)
Cd 0.000 0.000 0.500  -0.01
Ni 0.000 0.500 0.000  0.27
H 0.000 0.000 0.000  0.00
Pt 0.500 0.500 0.500  0.10
Ni 0.500 0.000 0.000  0.27

Output
Crystal system = tetragonal
Mass density = 11787 kg/m3
SG = P4/mmm

***

The least stable of them is 2.

***

## 1
The following is a PBE-GGA calculation of a relaxed CdNiHPt2 crystal, from Alexandria.

Lattice parameters (Å, degrees): 3.931 3.931 4.272 90.00 90.00 90.00
Each line ends with the local moment (μB).
Element x y z (fractional)
Cd 0.000 0.000 0.500  -0.01
Ni 0.500 0.500 0.500  0.56
H 0.000 0.000 0.000  0.00
Pt 0.500 0.000 0.000  0.09
Pt 0.000 0.500 0.000  0.09

Output
Crystal system = tetragonal
Mass density = 14143 kg/m3
SG = P4/mmm

***

## 2
The following is a PBE-GGA calculation of a relaxed CdNiHPt2 crystal, from Alexandria.

Lattice parameters (Å, degrees): 4.041 4.041 3.956 90.00 90.00 90.00
Each line ends with the local moment (μB).
Element x y z (fractional)
Cd 0.500 0.500 0.500  0.00
H 0.000 0.000 0.000  0.00
Pt 0.500 0.000 0.000  0.09
Pt 0.000 0.500 0.000  0.09
Ni 0.000 0.000 0.500  0.46

Output
Crystal system = tetragonal
Mass density = 14456 kg/m3
SG = P4/mmm

***

The least stable of them is 1.

***

## 1
The following is a PBE-GGA calculation of a relaxed CdHO2 crystal, from Alexandria.

Lattice parameters (Å, degrees): 6.019 6.019 6.019 28.86 28.86 28.86
Each line ends with the local moment (μB).
Element x y z (fractional)
O 0.883 0.883 0.883  0.47
H 0.500 0.500 0.500  -0.03
Cd 0.000 0.000 0.000  -0.02
O 0.117 0.117 0.117  0.47

Output
Crystal system = trigonal
Mass density = 5374 kg/m3
SG = R-3m

***

## 2
The following is a PBE-GGA calculation of a relaxed CdHO2 crystal, from Alexandria.

Lattice parameters (Å, degrees): 4.947 4.947 4.947 40.31 40.31 40.31
Each line ends with the local moment (μB).
Element x y z (fractional)
O 0.087 0.087 0.087  0.40
Cd 0.500 0.500 0.500  0.09
O 0.913 0.913 0.913  0.40
H 0.000 0.000 0.000  0.00

Output
Crystal system = trigonal
Mass density = 5284 kg/m3
SG = R-3m

***

The least stable of them is 1.

***

## 1
The following is a PBE-GGA calculation of a relaxed CdH2O2 crystal, from Alexandria.

Lattice parameters (Å, degrees): 3.579 3.579 4.775 90.00 90.00 120.00
Element x y z (fractional)
O 0.667 0.333 0.767
H 0.667 0.333 0.563
Cd 0.000 0.000 0.000
O 0.333 0.667 0.233
H 0.333 0.667 0.437

Output
Crystal system = trigonal
Mass density = 4589 kg/m3
SG = P-3m1

***

## 2
The following is a PBE-GGA calculation of a relaxed CdH2O2 crystal, from Alexandria.

Lattice parameters (Å, degrees): 6.438 6.438 3.272 80.44 80.44 123.09
Element x y z (fractional)
H 0.583 0.583 0.655
H 0.304 0.662 0.516
Cd 0.064 0.786 0.032
Cd 0.786 0.064 0.032
H 0.662 0.304 0.516
H 0.392 0.392 0.402
O 0.836 0.345 0.417
O 0.402 0.402 0.694
O 0.838 0.838 0.602
O 0.345 0.836 0.417

Output
Crystal system = monoclinic
Mass density = 4565 kg/m3
SG = Cm

***

## 3
The following is a PBE-GGA calculation of a relaxed CdH2O2 crystal, from Alexandria.

Lattice parameters (Å, degrees): 2.809 2.809 7.143 78.66 78.66 60.00
Element x y z (fractional)
H 0.240 0.240 0.281
O 0.585 0.585 0.246
Cd 0.000 0.000 0.000
H 0.760 0.760 0.719
O 0.415 0.415 0.754

Output
Crystal system = trigonal
Mass density = 5116 kg/m3
SG = R-3m

***

The least stable of them is 3.

***

## 1
The following is a PBE-GGA calculation of a relaxed CdH2O2 crystal, from Alexandria.

Lattice parameters (Å, degrees): 2.820 2.820 5.088 73.91 73.91 90.00
Element x y z (fractional)
O 0.342 0.342 0.316
H 0.750 0.250 0.500
H 0.250 0.750 0.500
Cd 0.000 0.000 0.000
O 0.658 0.658 0.684

Output
Crystal system = tetragonal
Mass density = 6530 kg/m3
SG = I4/mmm

***

## 2
The following is a PBE-GGA calculation of a relaxed CdH2O2 crystal, from Alexandria.

Lattice parameters (Å, degrees): 6.133 6.133 2.527 90.00 90.00 90.00
Element x y z (fractional)
O 0.173 0.673 0.000
H 0.145 0.645 0.500
O 0.827 0.327 0.000
O 0.327 0.173 0.000
Cd 0.500 0.500 0.000
H 0.355 0.145 0.500
O 0.673 0.827 0.000
H 0.855 0.355 0.500
Cd 0.000 0.000 0.000
H 0.645 0.855 0.500

Output
Crystal system = tetragonal
Mass density = 5116 kg/m3
SG = P4/mbm

***

The least stable of them is 1.

***

## 1
The following is a PBE-GGA calculation of a relaxed CdH2O crystal, from Alexandria.

Lattice parameters (Å, degrees): 4.699 4.699 4.698 60.00 60.00 90.00
Element x y z (fractional)
Cd 0.750 0.250 0.500
H 0.375 0.125 0.250
O 0.250 0.750 0.500
Cd 0.000 0.000 0.000
H 0.375 0.625 0.250
H 0.375 0.625 0.750
H 0.875 0.625 0.750
O 0.500 0.500 0.000

Output
Crystal system = cubic
Mass density = 5907 kg/m3
SG = Fd-3m

***

## 2
The following is a PBE-GGA calculation of a relaxed CdH2O crystal, from Alexandria.

Lattice parameters (Å, degrees): 3.662 3.662 3.662 60.00 60.00 60.00
Each line ends with the local moment (μB).
Element x y z (fractional)
O 0.000 0.000 0.000  0.11
Cd 0.500 0.500 0.500  0.03
H 0.750 0.750 0.750  0.13
H 0.250 0.250 0.250  0.13

Output
Crystal system = cubic
Mass density = 6236 kg/m3
SG = Fm-3m

***

The least stable of them is 2.

***

## 1
The following is a PBE-GGA calculation of a relaxed CdHO crystal, from Alexandria.

Lattice parameters (Å, degrees): 3.207 5.839 9.520 90.00 90.00 92.56
Element x y z (fractional)
H 0.433 0.002 0.632
H 0.567 0.498 0.132
Cd 0.229 0.417 0.388
Cd 0.771 0.083 0.888
O 0.305 0.550 0.171
H 0.567 0.998 0.368
O 0.695 0.450 0.829
Cd 0.229 0.917 0.112
O 0.305 0.050 0.329
Cd 0.771 0.583 0.612
H 0.433 0.502 0.868
O 0.695 0.950 0.671

Output
Crystal system = monoclinic
Mass density = 4827 kg/m3
SG = P2_1/c

***

## 2
The following is a PBE-GGA calculation of a relaxed CdHO crystal, from Alexandria.

Lattice parameters (Å, degrees): 3.133 3.133 5.340 107.06 107.06 90.00
Element x y z (fractional)
H 0.552 0.552 0.104
Cd 0.847 0.847 0.695
O 0.450 0.450 0.901

Output
Crystal system = tetragonal
Mass density = 4505 kg/m3
SG = I4mm

***

## 3
The following is a PBE-GGA calculation of a relaxed CdHO crystal, from Alexandria.

Lattice parameters (Å, degrees): 3.670 4.974 5.965 114.15 107.91 90.00
Element x y z (fractional)
O 0.329 0.412 0.658
H 0.363 0.262 0.727
Cd 0.106 0.262 0.212
H 0.637 0.738 0.273
Cd 0.894 0.738 0.788
O 0.671 0.588 0.342

Output
Crystal system = monoclinic
Mass density = 4595 kg/m3
SG = C2/m

***

The least stable of them is 2.

***

## 1
The following is a PBE-GGA calculation of a relaxed CdH3O crystal, from Alexandria.

Lattice parameters (Å, degrees): 3.465 3.465 3.465 90.00 90.00 90.00
Element x y z (fractional)
H 0.500 0.000 0.000
Cd 0.500 0.500 0.500
H 0.000 0.000 0.500
O 0.000 0.000 0.000
H 0.000 0.500 0.000

Output
Crystal system = cubic
Mass density = 5248 kg/m3
SG = Pm-3m

***

## 2
The following is a PBE-GGA calculation of a relaxed CdH3O crystal, from Alexandria.

Lattice parameters (Å, degrees): 3.712 3.712 3.712 90.00 90.00 90.00
Each line ends with the local moment (μB).
Element x y z (fractional)
H 0.000 0.500 0.000  0.06
H 0.000 0.000 0.500  0.02
Cd 0.000 0.000 0.000  0.05
O 0.500 0.500 0.500  1.25
H 0.500 0.000 0.000  0.08

Output
Crystal system = cubic
Mass density = 4268 kg/m3
SG = Pm-3m

***

The least stable of them is 2.

***

## 1
The following is a PBE-GGA calculation of a relaxed CdP2HO crystal, from Alexandria.

Lattice parameters (Å, degrees): 3.372 3.372 6.825 90.00 90.00 90.00
Element x y z (fractional)
H 0.000 0.000 0.000
O 0.000 0.000 0.500
P 0.000 0.500 0.000
P 0.500 0.000 0.000
Cd 0.500 0.500 0.500

Output
Crystal system = tetragonal
Mass density = 4095 kg/m3
SG = P4/mmm

***

## 2
The following is a PBE-GGA calculation of a relaxed CdP2HO crystal, from Alexandria.

Lattice parameters (Å, degrees): 5.094 5.094 4.109 90.00 90.00 90.00
Each line ends with the local moment (μB).
Element x y z (fractional)
Cd 0.000 0.000 0.000  0.01
P 0.000 0.500 0.000  0.16
O 0.000 0.000 0.500  0.24
H 0.500 0.500 0.500  0.26
P 0.500 0.000 0.000  0.16

Output
Crystal system = tetragonal
Mass density = 2981 kg/m3
SG = P4/mmm

***

The least stable of them is 2.

***

## 1
The following is a PBE-GGA calculation of a relaxed CdPHO2 crystal, from Alexandria.

Lattice parameters (Å, degrees): 4.103 4.103 5.603 90.00 90.00 90.00
Each line ends with the local moment (μB).
Element x y z (fractional)
H 0.500 0.500 0.500  0.25
P 0.000 0.000 0.500  -0.83
Cd 0.000 0.000 0.000  -0.01
O 0.500 0.000 0.000  0.34
O 0.000 0.500 0.000  0.34

Output
Crystal system = tetragonal
Mass density = 3105 kg/m3
SG = P4/mmm

***

## 2
The following is a PBE-GGA calculation of a relaxed CdPHO2 crystal, from Alexandria.

Lattice parameters (Å, degrees): 4.201 4.201 2.986 90.00 90.00 90.00
Element x y z (fractional)
O 0.000 0.500 0.000
P 0.000 0.000 0.500
O 0.500 0.000 0.000
H 0.000 0.000 0.000
Cd 0.500 0.500 0.500

Output
Crystal system = tetragonal
Mass density = 5558 kg/m3
SG = P4/mmm

***

The least stable of them is 1.